Below is a relaxed structure of TaPt3, with properties calculated at the PBE level.

Density, g/cm3: 19.8
Total magnetization, μB per formula unit: 0.00
Electronic total energy, eV/atom: -7.941
Formation energy, meV/atom: -447

The structure in POSCAR format:
```
TaPt3
1.0
2.794 -4.008 0.000
2.794 4.008 0.000
0.000 0.000 2.875
Ta Pt
1 3
Direct
0.000 0.000 0.000
0.000 0.500 0.500
0.500 0.000 0.500
0.500 0.500 0.000
```


Below is a relaxed structure of Ta2Pt, with properties calculated at the PBE level.

Density, g/cm3: 17.7
Total magnetization, μB per formula unit: 0.00
Electronic total energy, eV/atom: -10.208
Formation energy, meV/atom: -293

The structure in POSCAR format:
```
Ta2Pt
1.0
5.361 -1.444 0.000
5.361 1.444 0.000
-2.143 0.000 6.736
Ta Pt
4 2
Direct
0.000 0.000 0.000
0.048 0.048 0.585
0.354 0.354 0.269
0.717 0.717 0.917
0.335 0.335 0.665
0.644 0.644 0.322
```


Below is a relaxed structure of Ta2Pt, with properties calculated at the PBE level.

Density, g/cm3: 15.3
Total magnetization, μB per formula unit: 0.00
Electronic total energy, eV/atom: -9.691
Formation energy, meV/atom: 225

The structure in POSCAR format:
```
Ta2Pt
1.0
4.037 0.000 0.000
0.000 4.037 0.000
0.000 0.000 3.708
Ta Pt
2 1
Direct
0.000 0.500 0.000
0.500 0.000 0.000
0.000 0.000 0.500
```


Below is a relaxed structure of Ta2Pt, with properties calculated at the PBE level.

Density, g/cm3: 16.3
Total magnetization, μB per formula unit: 0.00
Electronic total energy, eV/atom: -9.808
Formation energy, meV/atom: 108

The structure in POSCAR format:
```
Ta2Pt
1.0
-1.394 2.005 10.155
1.394 -2.005 10.155
1.394 2.005 -10.155
Ta Pt
4 2
Direct
0.299 0.049 0.250
0.439 0.189 0.250
0.561 0.811 0.750
0.701 0.951 0.750
0.129 0.379 0.750
0.871 0.621 0.250
```


Below is a relaxed structure of TaPt3, with properties calculated at the PBE level.

Density, g/cm3: 19.4
Total magnetization, μB per formula unit: 0.00
Electronic total energy, eV/atom: -8.046
Formation energy, meV/atom: -552

The structure in POSCAR format:
```
TaPt3
1.0
3.434 0.000 0.000
0.000 3.434 0.000
0.000 0.000 5.552
Ta Pt
1 3
Direct
0.000 0.000 0.000
0.000 0.000 0.500
0.500 0.500 0.247
0.500 0.500 0.753
```


Below is a relaxed structure of TaPt5, with properties calculated at the PBE level.

Density, g/cm3: 20.0
Total magnetization, μB per formula unit: 0.00
Electronic total energy, eV/atom: -7.404
Formation energy, meV/atom: -394

The structure in POSCAR format:
```
TaPt5
1.0
4.611 0.000 0.000
0.000 1.422 7.305
0.000 -1.422 7.305
Ta Pt
1 5
Direct
0.000 0.000 0.000
0.000 0.339 0.339
0.000 0.665 0.665
0.500 0.227 0.227
0.500 0.559 0.559
0.500 0.893 0.893
```


Below is a relaxed structure of Ta3Pt, with properties calculated at the PBE level.

Density, g/cm3: 17.3
Total magnetization, μB per formula unit: 0.00
Electronic total energy, eV/atom: -10.483
Formation energy, meV/atom: -83

The structure in POSCAR format:
```
Ta3Pt
1.0
2.897 0.000 0.000
-1.448 2.509 0.000
0.000 0.000 9.725
Ta Pt
3 1
Direct
0.000 0.000 0.000
0.333 0.667 0.262
0.333 0.667 0.738
0.000 0.000 0.500
```


Below is a relaxed structure of TaPt, with properties calculated at the PBE level.

Density, g/cm3: 18.3
Total magnetization, μB per formula unit: 0.00
Electronic total energy, eV/atom: -9.220
Formation energy, meV/atom: -273

The structure in POSCAR format:
```
TaPt
1.0
1.447 0.835 9.415
-1.447 0.835 9.415
0.000 -1.670 9.415
Ta Pt
2 2
Direct
0.121 0.121 0.121
0.879 0.879 0.879
0.376 0.376 0.376
0.624 0.624 0.624
```


Below is a relaxed structure of TaPt7, with properties calculated at the PBE level.

Density, g/cm3: 20.3
Total magnetization, μB per formula unit: 0.00
Excess energy over the best structure of this formula in the dataset, eV/atom: 0.000
Electronic total energy, eV/atom: -7.196
Formation energy, meV/atom: -429

The structure in POSCAR format:
```
TaPt7
1.0
4.480 -1.977 0.000
4.480 1.977 0.000
-3.595 0.000 7.147
Ta Pt
1 7
Direct
0.000 0.000 0.000
0.000 0.000 0.500
0.250 0.250 0.876
0.252 0.252 0.373
0.498 0.498 0.759
0.502 0.502 0.241
0.748 0.748 0.627
0.750 0.750 0.124
```


Below is a relaxed structure of Ta3Pt, with properties calculated at the PBE level.

Density, g/cm3: 10.2
Total magnetization, μB per formula unit: 0.00
Electronic total energy, eV/atom: -8.387
Formation energy, meV/atom: 2012

The structure in POSCAR format:
```
Ta3Pt
1.0
4.934 0.000 0.000
0.000 4.934 0.000
0.000 0.000 4.934
Ta Pt
3 1
Direct
0.000 0.000 0.500
0.000 0.500 0.000
0.500 0.000 0.000
0.000 0.000 0.000
```


Below is a relaxed structure of Ta2Pt, with properties calculated at the PBE level.

Density, g/cm3: 17.7
Total magnetization, μB per formula unit: 0.00
Electronic total energy, eV/atom: -10.340
Formation energy, meV/atom: -424

The structure in POSCAR format:
```
Ta2Pt
1.0
9.986 0.000 0.000
0.000 9.986 0.000
0.000 0.000 5.235
Ta Pt
20 10
Direct
0.061 0.267 0.000
0.101 0.101 0.500
0.187 0.813 0.252
0.187 0.813 0.748
0.233 0.561 0.500
0.267 0.061 0.000
0.313 0.313 0.248
0.313 0.313 0.752
0.399 0.601 0.000
0.439 0.767 0.500
0.561 0.233 0.500
0.601 0.399 0.000
0.687 0.687 0.248
0.687 0.687 0.752
0.733 0.939 0.000
0.767 0.439 0.500
0.813 0.187 0.252
0.813 0.187 0.748
0.899 0.899 0.500
0.939 0.733 0.000
0.000 0.000 0.000
0.036 0.362 0.500
0.138 0.536 0.000
0.362 0.036 0.500
0.464 0.862 0.000
0.500 0.500 0.500
0.536 0.138 0.000
0.638 0.964 0.500
0.862 0.464 0.000
0.964 0.638 0.500
```


Below is a relaxed structure of Ta2Pt, with properties calculated at the PBE level.

Density, g/cm3: 17.2
Total magnetization, μB per formula unit: 0.00
Electronic total energy, eV/atom: -9.761
Formation energy, meV/atom: 154

The structure in POSCAR format:
```
Ta2Pt
1.0
5.359 0.000 0.000
-2.679 4.641 0.000
0.000 0.000 8.631
Ta Pt
8 4
Direct
0.000 0.000 0.000
0.000 0.000 0.500
0.169 0.338 0.250
0.169 0.831 0.250
0.338 0.169 0.750
0.662 0.831 0.250
0.831 0.169 0.750
0.831 0.662 0.750
0.333 0.667 0.561
0.333 0.667 0.939
0.667 0.333 0.061
0.667 0.333 0.439
```


Below is a relaxed structure of TaPt5, with properties calculated at the PBE level.

Density, g/cm3: 19.3
Total magnetization, μB per formula unit: 0.00
Electronic total energy, eV/atom: -7.200
Formation energy, meV/atom: -190

The structure in POSCAR format:
```
TaPt5
1.0
0.000 3.679 3.679
3.679 0.000 3.679
3.679 3.679 0.000
Ta Pt
1 5
Direct
0.000 0.000 0.000
0.375 0.375 0.375
0.375 0.375 0.875
0.375 0.875 0.375
0.750 0.750 0.750
0.875 0.375 0.375
```


Below is a relaxed structure of Ta3Pt, with properties calculated at the PBE level.

Density, g/cm3: 17.5
Total magnetization, μB per formula unit: 0.00
Electronic total energy, eV/atom: -10.699
Formation energy, meV/atom: -299

The structure in POSCAR format:
```
Ta3Pt
1.0
1.809 -2.197 0.000
1.809 2.197 0.000
0.000 0.000 8.800
Ta Pt
3 1
Direct
0.000 0.000 0.000
0.500 0.500 0.262
0.500 0.500 0.738
0.000 0.000 0.500
```